The following is a DFT calculation (PBE) of an optimized crystal structure of Li2H2Pb.

Cell: 3.6269 3.6269 6.3029 Å, 73.28 73.28 90.00°
Positions (direct):
1 Pb 0.0000 0.0000 0.0000
2 H 0.2094 0.2094 0.5812
3 H 0.7906 0.7906 0.4188
4 Li 0.7500 0.2500 0.5000
5 Li 0.2500 0.7500 0.5000

Values from the calculation:
DFT total energy (Ha/atom): -0.1096
Distance to the lowest polymorph of the same formula (eV/atom): 0.000